Entry 1:
DFT (GGA-PBE) results for NdYTh after structural relaxation.

Properties
- energy of formation (eV/atom) = 0.02
- symmetry = P4/nmm (129)
- raw total energy (eV per cell) = -37.16

Cell: 3.615 3.615 15.314 Å, 90.00 90.00 90.00°
Sites, in units of the cell vectors:
Nd1 0.250 0.250 0.085
Nd2 0.750 0.750 0.915
Y1 0.250 0.250 0.742
Y2 0.750 0.750 0.258
Th1 0.250 0.250 0.421
Th2 0.750 0.750 0.579

Entry 2:
DFT (GGA-PBE) results for KMoSN2 after structural relaxation.

Properties
- E_form (uncorrected) (meV/atom) = 2766
- symmetry = P4/mmm (123)
- raw total energy (eV per cell) = -18.87

Cell: 4.255 4.255 5.606 Å, 90.00 90.00 90.00°
Sites, in units of the cell vectors:
K1 0.000 0.000 0.000
Mo1 0.500 0.500 0.500
S1 0.000 0.000 0.500
N1 0.000 0.500 0.000
N2 0.500 0.000 0.000

Entry 3:
DFT (GGA-PBE) results for Pr2ErZnTe5 after structural relaxation.

Properties
- E_form (uncorrected) (meV/atom) = -1190
- symmetry = Cmc2_1 (36)
- raw total energy (eV per cell) = -83.62

Cell: 9.908 9.908 13.236 Å, 90.00 90.00 154.88°
Sites, in units of the cell vectors:
Pr1 0.114 0.886 0.500
Pr2 0.129 0.871 0.124
Pr3 0.871 0.129 0.624
Pr4 0.886 0.114 0.000
Er1 0.199 0.801 0.830
Er2 0.801 0.199 0.330
Zn1 0.435 0.565 0.274
Zn2 0.565 0.435 0.774
Te1 0.047 0.953 0.887
Te2 0.285 0.715 0.490
Te3 0.311 0.689 0.165
Te4 0.357 0.643 0.817
Te5 0.500 0.500 0.102
Te6 0.500 0.500 0.602
Te7 0.643 0.357 0.317
Te8 0.689 0.311 0.665
Te9 0.715 0.285 0.990
Te10 0.953 0.047 0.387

Entry 4:
DFT (GGA-PBE) results for RbVCrSe4 after structural relaxation.

Properties
- E_form (uncorrected) (meV/atom) = -666
- symmetry = P2_1/m (11)
- raw total energy (eV per cell) = -76.62

Cell: 6.153 7.240 8.871 Å, 90.00 96.68 90.00°
Sites, in units of the cell vectors:
Rb1 0.212 0.250 0.061
Rb2 0.788 0.750 0.939
V1 0.358 0.250 0.656
V2 0.642 0.750 0.344
Cr1 0.154 0.750 0.453
Cr2 0.846 0.250 0.547
Se1 0.114 0.003 0.677
Se2 0.114 0.497 0.677
Se3 0.318 0.750 0.183
Se4 0.461 0.250 0.419
Se5 0.539 0.750 0.581
Se6 0.682 0.250 0.817
Se7 0.886 0.503 0.323
Se8 0.886 0.997 0.323

Entry 5:
DFT (GGA-PBE) results for Rb2CoAgBr6 after structural relaxation.

Properties
- E_form (uncorrected) (meV/atom) = -861
- symmetry = P2_1/c (14)
- raw total energy (eV per cell) = -61.09

Cell: 7.232 7.234 13.477 Å, 90.00 122.34 90.00°
Sites, in units of the cell vectors:
Rb1 0.249 0.002 0.250
Rb2 0.249 0.498 0.750
Rb3 0.751 0.502 0.250
Rb4 0.751 0.998 0.750
Co1 0.500 0.000 0.000
Co2 0.500 0.500 0.500
Ag1 0.000 0.000 0.500
Ag2 0.000 0.500 0.000
Br1 0.212 0.185 0.999
Br2 0.212 0.315 0.499
Br3 0.286 0.501 0.284
Br4 0.286 0.999 0.784
Br5 0.315 0.713 0.000
Br6 0.315 0.787 0.500
Br7 0.685 0.213 0.500
Br8 0.685 0.287 0.000
Br9 0.714 0.001 0.216
Br10 0.714 0.499 0.716
Br11 0.788 0.685 0.501
Br12 0.788 0.815 0.001

Entry 6:
DFT (GGA-PBE) results for Nd4SiSeS2 after structural relaxation.

Properties
- E_form (uncorrected) (meV/atom) = -1686
- symmetry = P2/m (10)
- raw total energy (eV per cell) = -49.72

Cell: 7.183 4.170 7.284 Å, 90.00 109.48 90.00°
Sites, in units of the cell vectors:
Nd1 0.243 0.000 0.237
Nd2 0.249 0.500 0.756
Nd3 0.751 0.500 0.244
Nd4 0.757 0.000 0.763
Si1 0.500 0.000 0.000
Se1 0.500 0.500 0.500
S1 0.000 0.000 0.500
S2 0.000 0.500 0.000